Computed, not measured: crystalline Sr2Cd3Pb at its relaxed geometry at the PBE level of DFT.

Results
V = 30.6 Å³/atom
Spin magnetization = 0.00 μB per cell
Space-group type = Fmmm, No. 69
Formation enthalpy at 0 K = -2.31 eV per formula unit

Unit cell a=6.5188 b=6.5188 c=10.2654 alpha=113.20 beta=113.20 gamma=76.08
With the nearest neighbours (Å) after each atom.
Fractional coordinates of all 12 atoms:
Sr1 0.7500 0.2500 0.5000  4 Pb 3.59, 8 Cd 3.60-3.61, 2 Sr 4.02
Cd1 0.8357 0.8357 0.1633  2 Cd 2.90-2.92, 1 Pb 3.00
Pb1 0.6653 0.6653 0.3305  3 Cd 3.00-3.04
Cd2 0.1643 0.1643 0.8367  2 Cd 2.90-2.92, 1 Pb 3.00
Cd3 0.6725 0.6725 0.8367  2 Cd 2.90-2.92, 1 Pb 3.00
Pb2 0.3347 0.3347 0.6695  3 Cd 3.00-3.04
Cd4 0.8363 0.8363 0.6726  2 Cd 2.92, 1 Pb 3.04
Cd5 0.1637 0.1637 0.3274  2 Cd 2.92, 1 Pb 3.04
Sr2 0.2500 0.7500 0.5000  4 Pb 3.59, 8 Cd 3.60-3.61, 2 Sr 4.02
Sr3 0.7515 0.2485 0.0000  10 Cd 3.53-3.61, 2 Pb 3.57
Sr4 0.2485 0.7515 0.0000  10 Cd 3.53-3.61, 2 Pb 3.57
Cd6 0.3275 0.3275 0.1633  2 Cd 2.90-2.92, 1 Pb 3.00

***

Computed, not measured: crystalline Sr3Cd2Pb7 at its relaxed geometry at the PBE level of DFT.

Results
V = 32.5 Å³/atom
Spin magnetization = 0.00 μB per cell
Space-group type = I4/mmm, No. 139
Formation enthalpy at 0 K = -3.40 eV per formula unit

Unit cell a=4.9226 b=4.9226 c=16.4814 alpha=98.59 beta=98.59 gamma=90.00
With the nearest neighbours (Å) after each atom.
Fractional coordinates of all 12 atoms:
Pb1 0.0794 0.5794 0.1588  2 Cd 3.18, 6 Pb 3.48-3.55, 2 Sr 3.55
Cd1 0.8579 0.8579 0.7157  5 Pb 2.95-3.18
Pb2 0.0000 0.0000 0.0000  4 Sr 3.48, 8 Pb 3.55
Pb3 0.2338 0.2338 0.4676  1 Cd 2.95, 1 Sr 3.31
Pb4 0.4206 0.9206 0.8412  2 Cd 3.18, 6 Pb 3.48-3.55, 2 Sr 3.55
Pb5 0.7662 0.7662 0.5324  1 Cd 2.95, 1 Sr 3.31
Sr1 0.5000 0.5000 0.0000  12 Pb 3.48-3.55
Pb6 0.5794 0.0794 0.1588  2 Cd 3.18, 6 Pb 3.48-3.55, 2 Sr 3.55
Sr2 0.3364 0.3364 0.6728  5 Pb 3.31-3.66, 4 Cd 3.55
Sr3 0.6636 0.6636 0.3272  5 Pb 3.31-3.66, 4 Cd 3.55
Cd2 0.1421 0.1421 0.2843  5 Pb 2.95-3.18
Pb7 0.9206 0.4206 0.8412  2 Cd 3.18, 6 Pb 3.48-3.55, 2 Sr 3.55

***

Computed, not measured: crystalline SrCd6Pb6 at its relaxed geometry at the PBE level of DFT.

Results
V = 28.5 Å³/atom
Spin magnetization = 0.00 μB per cell
Space-group type = Immm, No. 71
Formation enthalpy at 0 K = -1.03 eV per formula unit

Unit cell a=5.9939 b=8.4244 c=8.4244 alpha=87.48 beta=69.16 gamma=69.16
With the nearest neighbours (Å) after each atom.
Fractional coordinates of all 13 atoms:
Pb1 0.3444 0.6556 0.6556  3 Pb 3.30-3.44, 6 Cd 3.42-3.63, 1 Sr 3.65
Cd1 0.5000 0.2227 0.7773  4 Cd 3.06, 4 Pb 3.26-3.37
Pb2 0.0000 0.3543 0.6457  6 Cd 3.28-3.37, 1 Pb 3.40
Cd2 0.0000 0.0000 0.5000  4 Cd 3.00-3.06, 4 Pb 3.28-3.35
Cd3 0.5000 0.0000 0.5000  4 Cd 3.00-3.06, 4 Pb 3.28-3.35
Pb3 0.6556 0.3444 0.3444  3 Pb 3.30-3.44, 6 Cd 3.42-3.63, 1 Sr 3.65
Pb4 0.0000 0.6457 0.3543  6 Cd 3.28-3.37, 1 Pb 3.40
Cd4 0.5000 0.5000 0.0000  4 Cd 3.00-3.06, 4 Pb 3.28-3.35
Cd5 0.0000 0.5000 0.0000  4 Cd 3.00-3.06, 4 Pb 3.28-3.35
Cd6 0.5000 0.7773 0.2227  4 Cd 3.06, 4 Pb 3.26-3.37
Pb5 0.6856 0.8144 0.8144  6 Cd 3.26-3.35, 2 Pb 3.44, 2 Sr 3.58
Sr1 0.0000 0.0000 0.0000  6 Pb 3.58-3.65, 4 Cd 3.96
Pb6 0.3144 0.1856 0.1856  6 Cd 3.26-3.35, 2 Pb 3.44, 2 Sr 3.58

***

Computed, not measured: crystalline SrCd10Pb at its relaxed geometry at the PBE level of DFT.

Results
V = 25.7 Å³/atom
Spin magnetization = 0.00 μB per cell
Space-group type = Pmmm, No. 47
Formation enthalpy at 0 K = -0.83 eV per formula unit

Unit cell a=4.9060 b=6.0831 c=10.3523 alpha=90.00 beta=90.00 gamma=90.00
With the nearest neighbours (Å) after each atom.
Fractional coordinates of all 12 atoms:
Cd1 0.5000 0.7573 0.2418  8 Cd 2.95-3.13
Cd2 0.5000 0.7573 0.7582  8 Cd 2.95-3.13
Cd3 0.0000 0.0000 0.6580  7 Cd 2.95-3.27
Cd4 0.5000 0.5000 0.0000  8 Cd 2.95-3.07
Sr1 0.0000 0.0000 0.0000  18 Cd 3.54-3.91
Pb1 0.0000 0.5000 0.5000  6 Cd 3.33-3.45
Cd5 0.5000 0.2427 0.2418  8 Cd 2.95-3.13
Cd6 0.5000 0.2427 0.7582  8 Cd 2.95-3.13
Cd7 0.0000 0.0000 0.3420  7 Cd 2.95-3.27
Cd8 0.0000 0.5000 0.1779  6 Cd 2.98-3.07, 1 Pb 3.33
Cd9 0.5000 0.0000 0.5000  8 Cd 2.95-3.05
Cd10 0.0000 0.5000 0.8221  6 Cd 2.98-3.07, 1 Pb 3.33

***

Computed, not measured: crystalline Sr3CdPb at its relaxed geometry at the PBE level of DFT.

Results
V = 52.6 Å³/atom
Spin magnetization = 0.00 μB per cell
Space-group type = Pm-3m, No. 221
Formation enthalpy at 0 K = -0.36 eV per formula unit
Relative energy among the computed polymorphs = 330 meV/atom

Unit cell a=6.4089 b=6.4089 c=6.4089 alpha=90.00 beta=90.00 gamma=90.00
With the nearest neighbours (Å) after each atom.
Fractional coordinates of all 5 atoms:
Sr1 0.0000 0.0000 0.5000  2 Pb 3.20
Sr2 0.0000 0.5000 0.0000  2 Pb 3.20
Cd1 0.5000 0.5000 0.5000  12 Sr 4.53
Pb1 0.0000 0.0000 0.0000  6 Sr 3.20
Sr3 0.5000 0.0000 0.0000  2 Pb 3.20

***

Computed, not measured: crystalline SrCd17Pb at its relaxed geometry at the PBE level of DFT.

Results
V = 24.4 Å³/atom
Spin magnetization = 0.00 μB per cell
Space-group type = R3m, No. 160
Formation enthalpy at 0 K = -1.28 eV per formula unit

Unit cell a=7.8007 b=7.8007 c=7.8007 alpha=82.25 beta=82.25 gamma=82.25
With the nearest neighbours (Å) after each atom.
Fractional coordinates of all 19 atoms:
Cd1 0.8943 0.8943 0.8943  7 Cd 3.09-3.19
Cd2 0.3081 0.9991 0.7044  8 Cd 2.96-3.24
Cd3 0.4940 0.0156 0.0156  10 Cd 2.96-3.19
Cd4 0.8378 0.3570 0.3570  8 Cd 2.96-3.19, 1 Pb 3.24
Cd5 0.9991 0.7044 0.3081  8 Cd 2.96-3.24
Cd6 0.7044 0.9991 0.3081  8 Cd 2.96-3.24
Cd7 0.0156 0.0156 0.4940  10 Cd 2.96-3.19
Cd8 0.9991 0.3081 0.7044  8 Cd 2.96-3.24
Cd9 0.0971 0.0971 0.0971  13 Cd 3.07-3.41
Cd10 0.6509 0.6509 0.1482  9 Cd 2.96-3.24
Cd11 0.7044 0.3081 0.9991  8 Cd 2.96-3.24
Cd12 0.6509 0.1482 0.6509  9 Cd 2.96-3.24
Cd13 0.3081 0.7044 0.9991  8 Cd 2.96-3.24
Cd14 0.3570 0.8378 0.3570  8 Cd 2.96-3.19, 1 Pb 3.24
Cd15 0.1482 0.6509 0.6509  9 Cd 2.96-3.24
Pb1 0.6181 0.6181 0.6181  6 Cd 3.24-3.62
Cd16 0.3570 0.3570 0.8378  8 Cd 2.96-3.19, 1 Pb 3.24
Sr1 0.3405 0.3405 0.3405  19 Cd 3.63-3.92
Cd17 0.0156 0.4940 0.0156  10 Cd 2.96-3.19

***

Computed, not measured: crystalline SrCd2Pb at its relaxed geometry at the PBE level of DFT.

Results
V = 29.9 Å³/atom
Spin magnetization = 0.00 μB per cell
Space-group type = Pmmm, No. 47
Formation enthalpy at 0 K = -0.85 eV per formula unit

Unit cell a=3.9295 b=4.2483 c=7.1695 alpha=90.00 beta=90.00 gamma=90.00
With the nearest neighbours (Å) after each atom.
Fractional coordinates of all 4 atoms:
Cd1 0.0000 0.0000 0.4797  1 Cd 3.29, 4 Pb 3.33, 4 Sr 3.48
Pb1 0.5000 0.5000 0.2500  8 Cd 3.33, 2 Sr 3.58
Sr1 0.5000 0.5000 0.7500  8 Cd 3.48, 2 Pb 3.58
Cd2 0.0000 0.0000 0.0203  1 Cd 3.29, 4 Pb 3.33, 4 Sr 3.48

***

Computed, not measured: crystalline Sr3CdPb at its relaxed geometry at the PBE level of DFT.

Results
V = 38.3 Å³/atom
Spin magnetization = 0.00 μB per cell
Space-group type = Cmcm, No. 63
Formation enthalpy at 0 K = -2.01 eV per formula unit
Relative energy among the computed polymorphs = 0 meV/atom

Unit cell a=5.7629 b=5.7709 c=11.8852 alpha=90.00 beta=75.97 gamma=90.00
With the nearest neighbours (Å) after each atom.
Fractional coordinates of all 10 atoms:
Sr1 0.7517 0.2500 0.1449  2 Cd 3.49, 2 Pb 3.53
Cd1 0.6666 0.7500 0.3151  8 Sr 3.48-3.59
Sr2 0.2512 0.7500 0.1459  2 Cd 3.48, 2 Pb 3.52
Pb1 0.1635 0.2500 0.3214  8 Sr 3.52-3.55
Sr3 0.0740 0.7500 0.5004  4 Pb 3.54-3.55, 4 Cd 3.58-3.59
Pb2 0.4848 0.7500 0.6786  8 Sr 3.52-3.55
Sr4 0.5744 0.2500 0.4996  4 Pb 3.54-3.55, 4 Cd 3.58-3.59
Sr5 0.8966 0.7500 0.8551  2 Cd 3.49, 2 Pb 3.53
Sr6 0.3971 0.2500 0.8541  2 Cd 3.48, 2 Pb 3.52
Cd2 0.9817 0.2500 0.6849  8 Sr 3.48-3.59

***

The evaluated calculated density for the records listed, in turn: 6.52; 8.24; 9.00; 7.63; 3.67; 7.92; 7.21; 5.04 g cm⁻³.